Y2Er5Ru5, relaxed, DFT PBE-GGA; M_tot = 0.0 μB per formula unit; final energy = -7.088 eV per atom
1.0
-3.824 2.849 0.472
-4.120 -1.776 1.682
1.141 3.361 13.123
Er Y Ru
5 2 5
direct
0.690 0.690 0.929 Er
0.310 0.310 0.071 Er
0.214 0.214 0.357 Er
0.500 0.500 0.500 Er
0.786 0.786 0.643 Er
0.072 0.072 0.784 Y
0.928 0.928 0.216 Y
0.617 0.617 0.149 Ru
0.383 0.383 0.851 Ru
0.145 0.145 0.565 Ru
0.000 0.000 0.000 Ru
0.855 0.855 0.435 Ru

***

Y3ErRu3, relaxed, DFT PBE-GGA; M_tot = 0.0 μB per formula unit; final energy = -7.743 eV per atom
1.0
5.500 -0.008 -1.935
-2.769 4.787 -1.959
0.005 -0.008 5.830
Y Ru Er
3 3 1
direct
0.586 0.590 0.586 Y
0.000 0.004 0.414 Y
0.414 0.004 0.000 Y
0.000 0.503 0.499 Ru
0.501 0.004 0.501 Ru
0.499 0.503 0.000 Ru
0.000 0.419 0.000 Er

***

YEr5Ru3, relaxed, DFT PBE-GGA; M_tot = 0.0 μB per formula unit; final energy = -6.571 eV per atom
1.0
7.567 0.110 0.067
2.178 7.248 0.067
2.972 2.244 9.158
Er Ru Y
10 6 2
direct
0.965 0.364 0.330 Er
0.636 0.035 0.670 Er
0.233 0.233 0.967 Er
0.570 0.570 0.631 Er
0.767 0.767 0.033 Er
0.302 0.698 0.000 Er
0.035 0.636 0.670 Er
0.364 0.965 0.330 Er
0.430 0.430 0.369 Er
0.698 0.302 0.000 Er
0.338 0.338 0.669 Ru
0.668 0.668 0.833 Ru
0.662 0.662 0.331 Ru
0.332 0.332 0.167 Ru
0.000 0.000 0.000 Ru
0.000 0.000 0.500 Ru
0.104 0.104 0.699 Y
0.896 0.896 0.301 Y

***

Y3ErRu, relaxed, DFT PBE-GGA; M_tot = 0.0 μB per formula unit; final energy = -6.682 eV per atom; offset from the most stable computed form = 183 meV/atom
1.0
-0.741 -0.986 5.251
-1.180 -5.140 -1.132
5.210 -1.304 0.491
Y Er Ru
3 1 1
direct
0.500 0.000 0.000 Y
0.000 0.000 0.500 Y
0.000 0.500 0.000 Y
0.500 0.500 0.500 Er
0.000 0.000 0.000 Ru

***

YEr2Ru3, relaxed, DFT PBE-GGA; M_tot = 0.0 μB per formula unit; final energy = -7.587 eV per atom; offset from the most stable computed form = 0 meV/atom
1.0
-0.642 -1.064 3.154
3.243 -0.925 0.348
2.239 9.189 3.555
Ru Er Y
3 2 1
direct
0.000 0.000 0.000 Ru
0.000 0.000 0.671 Ru
0.000 0.000 0.329 Ru
0.500 0.500 0.835 Er
0.500 0.500 0.165 Er
0.500 0.500 0.500 Y

***

YErZnRu, relaxed, DFT PBE-GGA; M_tot = 0.0 μB per formula unit; final energy = -5.766 eV per atom
1.0
-4.003 2.238 1.727
-3.729 1.020 -3.012
-4.213 -2.472 0.392
Er Y Zn Ru
1 1 1 1
direct
0.000 0.000 0.000 Er
0.500 0.500 0.500 Y
0.250 0.250 0.250 Zn
0.750 0.750 0.750 Ru

***

Er4Zn3Ru, relaxed, DFT PBE-GGA; M_tot = 0.0 μB per formula unit; final energy = -4.315 eV per atom
1.0
-2.811 -0.174 -2.039
-1.296 -2.530 2.002
-6.447 9.682 8.065
Zn Er Ru
3 4 1
direct
0.500 0.500 0.500 Zn
0.500 0.500 0.752 Zn
0.500 0.500 0.248 Zn
0.000 0.000 0.373 Er
0.000 0.000 0.627 Er
0.000 0.000 0.114 Er
0.000 0.000 0.886 Er
0.500 0.500 0.000 Ru

***

Er4ZnRu, relaxed, DFT PBE-GGA; M_tot = 0.0 μB per formula unit; final energy = -4.957 eV per atom; offset from the most stable computed form = 112 meV/atom
1.0
4.812 0.000 0.000
0.000 4.813 0.001
0.005 0.009 6.839
Er Zn Ru
4 1 1
direct
0.501 0.997 0.259 Er
0.001 0.497 0.259 Er
0.502 0.998 0.738 Er
0.002 0.498 0.738 Er
0.501 0.497 0.998 Zn
0.001 0.997 0.498 Ru

***

Er4ZnRu2, relaxed, DFT PBE-GGA; M_tot = 0.0 μB per formula unit; final energy = -5.716 eV per atom; offset from the most stable computed form = 91 meV/atom
1.0
7.440 0.022 -0.037
-2.459 7.022 0.037
-2.523 -3.499 6.062
Zn Er Ru
2 8 4
direct
0.000 0.000 0.000 Zn
0.750 0.500 0.250 Zn
0.141 0.391 0.393 Er
0.609 0.752 0.500 Er
0.250 0.252 0.859 Er
0.143 0.891 0.391 Er
0.002 0.609 0.750 Er
0.748 0.248 0.857 Er
0.500 0.109 0.252 Er
0.607 0.748 0.998 Er
0.375 0.892 0.767 Ru
0.517 0.392 0.625 Ru
0.233 0.608 0.125 Ru
0.875 0.108 0.483 Ru

***

Er4Zn2Ru, relaxed, DFT PBE-GGA; M_tot = 0.0 μB per formula unit; final energy = -4.541 eV per atom
1.0
4.882 0.000 0.000
0.000 4.882 0.000
0.000 0.000 6.922
Zn Er Ru
2 4 1
direct
0.000 0.000 0.000 Zn
0.500 0.500 0.500 Zn
0.000 0.500 0.755 Er
0.000 0.500 0.245 Er
0.500 0.000 0.245 Er
0.500 0.000 0.755 Er
0.500 0.500 0.000 Ru

***

Er2Zn16Ru, relaxed, DFT PBE-GGA; M_tot = 0.0 μB per formula unit; final energy = -2.250 eV per atom
1.0
6.714 0.033 0.794
0.709 6.677 0.794
0.037 0.033 6.761
Zn Er Ru
16 2 1
direct
0.709 0.997 0.287 Zn
0.505 0.996 0.996 Zn
0.150 0.646 0.646 Zn
0.287 0.709 0.997 Zn
0.646 0.646 0.150 Zn
0.836 0.358 0.358 Zn
0.997 0.287 0.709 Zn
0.996 0.996 0.505 Zn
0.358 0.836 0.358 Zn
0.997 0.709 0.287 Zn
0.646 0.150 0.646 Zn
0.709 0.287 0.997 Zn
0.287 0.997 0.709 Zn
0.358 0.358 0.836 Zn
0.103 0.103 0.103 Zn
0.996 0.505 0.996 Zn
0.339 0.339 0.339 Er
0.679 0.679 0.679 Er
0.901 0.901 0.901 Ru

***

Er2Zn3Ru, relaxed, DFT PBE-GGA; M_tot = 0.0 μB per formula unit; final energy = -3.838 eV per atom; offset from the most stable computed form = 267 meV/atom
1.0
4.752 0.000 0.000
0.000 5.297 0.000
-2.376 -2.648 4.838
Zn Er Ru
3 2 1
direct
0.620 0.620 0.240 Zn
0.380 0.380 0.760 Zn
0.000 0.000 0.000 Zn
0.288 0.788 0.576 Er
0.712 0.212 0.424 Er
0.000 0.500 0.000 Ru

***

ErZnRu, relaxed, DFT PBE-GGA; M_tot = 0.0 μB per formula unit; final energy = -5.429 eV per atom
1.0
-2.180 -0.389 -4.842
2.966 -4.044 1.787
-3.001 -0.220 4.393
Er Ru Zn
2 2 2
direct
0.750 0.882 0.132 Er
0.250 0.118 0.868 Er
0.000 0.500 0.500 Ru
0.500 0.000 0.500 Ru
0.500 0.500 0.500 Zn
0.000 0.500 0.000 Zn

***

ErZnRu, relaxed, DFT PBE-GGA; M_tot = 0.0 μB per formula unit; final energy = -5.328 eV per atom
1.0
3.463 0.000 0.000
0.000 4.356 0.000
0.000 -2.178 3.773
Zn Ru Er
1 1 1
direct
0.167 0.000 0.000 Zn
0.167 0.333 0.667 Ru
0.667 0.667 0.333 Er

***

ErZnRu, relaxed, DFT PBE-GGA; M_tot = 0.0 μB per formula unit; final energy = -5.197 eV per atom
1.0
-3.201 1.439 -3.419
0.955 -1.929 -5.214
-4.011 -3.737 -1.325
Er Ru Zn
2 2 2
direct
0.461 0.268 0.455 Er
0.961 0.768 0.955 Er
0.461 0.268 0.955 Ru
0.961 0.268 0.955 Ru
0.211 0.907 0.316 Zn
0.711 0.629 0.594 Zn

***

Er2Zn6Ru, relaxed, DFT PBE-GGA; M_tot = 0.0 μB per formula unit; final energy = -3.209 eV per atom
1.0
5.600 0.000 0.000
-2.800 4.824 0.505
0.000 -0.606 5.798
Zn Er Ru
6 2 1
direct
0.647 0.824 0.330 Zn
0.176 0.824 0.330 Zn
0.176 0.353 0.331 Zn
0.824 0.647 0.669 Zn
0.824 0.176 0.670 Zn
0.353 0.176 0.670 Zn
0.333 0.667 0.861 Er
0.667 0.333 0.139 Er
0.000 0.000 0.000 Ru

***

Er4ZnRu2, relaxed, DFT PBE-GGA; M_tot = 0.0 μB per formula unit; final energy = -5.807 eV per atom; offset from the most stable computed form = 0 meV/atom
1.0
4.806 0.000 0.000
0.000 4.806 0.000
0.000 0.000 6.796
Er Ru Zn
4 2 1
direct
0.000 0.500 0.746 Er
0.500 0.000 0.254 Er
0.000 0.500 0.254 Er
0.500 0.000 0.746 Er
0.000 0.000 0.000 Ru
0.500 0.500 0.500 Ru
0.500 0.500 0.000 Zn

***

Er5Zn4Ru, relaxed, DFT PBE-GGA; M_tot = 0.0 μB per formula unit; final energy = -4.106 eV per atom
1.0
-0.919 2.875 -1.746
-3.281 -1.164 -0.189
-3.751 8.093 15.301
Ru Zn Er
1 4 5
direct
0.000 0.000 0.000 Ru
0.000 0.000 0.198 Zn
0.000 0.000 0.601 Zn
0.000 0.000 0.802 Zn
0.000 0.000 0.399 Zn
0.500 0.500 0.298 Er
0.500 0.500 0.909 Er
0.500 0.500 0.702 Er
0.500 0.500 0.091 Er
0.500 0.500 0.500 Er

***

ErZnRu2, relaxed, DFT PBE-GGA; M_tot = 1.0 μB per formula unit; final energy = -6.185 eV per atom
1.0
-0.729 0.561 -3.178
2.773 -1.559 -0.911
-3.064 -5.313 -0.235
Ru Zn Er
2 1 1
direct
0.000 0.000 0.290 Ru
0.000 0.000 0.710 Ru
0.500 0.500 0.500 Zn
0.500 0.500 0.000 Er

***

Er4ZnRu, relaxed, DFT PBE-GGA; M_tot = 0.0 μB per formula unit; final energy = -5.068 eV per atom; offset from the most stable computed form = 0 meV/atom
1.0
-3.169 1.043 -0.940
-0.494 -3.001 -1.663
-4.652 -4.908 10.241
Er Ru Zn
4 1 1
direct
0.000 0.000 0.369 Er
0.500 0.500 0.141 Er
0.500 0.500 0.859 Er
0.000 0.000 0.631 Er
0.500 0.500 0.500 Ru
0.000 0.000 0.000 Zn

***

ErZnRu, relaxed, DFT PBE-GGA; M_tot = 0.0 μB per formula unit; final energy = -5.382 eV per atom
1.0
-4.010 -0.005 -0.105
-0.096 -6.972 4.006
-0.162 3.439 5.980
Ru Zn Er
4 4 4
direct
0.750 0.628 0.266 Ru
0.750 0.872 0.766 Ru
0.250 0.128 0.234 Ru
0.250 0.372 0.734 Ru
0.250 0.063 0.856 Zn
0.750 0.563 0.644 Zn
0.250 0.437 0.356 Zn
0.750 0.937 0.144 Zn
0.750 0.179 0.530 Er
0.750 0.321 0.030 Er
0.250 0.679 0.970 Er
0.250 0.821 0.470 Er

***

Er6ZnRu2, relaxed, DFT PBE-GGA; M_tot = 0.0 μB per formula unit; final energy = -5.587 eV per atom
1.0
-8.309 0.546 0.150
3.108 0.567 -7.706
2.779 -7.391 2.649
Er Ru Zn
12 4 2
direct
0.538 0.718 0.820 Er
0.804 0.756 0.560 Er
0.313 0.983 0.670 Er
0.899 0.718 0.180 Er
0.687 0.356 0.670 Er
0.101 0.282 0.820 Er
0.687 0.017 0.330 Er
0.196 0.756 0.953 Er
0.313 0.644 0.330 Er
0.804 0.244 0.047 Er
0.462 0.282 0.180 Er
0.196 0.244 0.440 Er
0.684 0.000 0.684 Ru
0.500 0.371 0.871 Ru
0.500 0.629 0.129 Ru
0.316 0.000 0.316 Ru
0.000 0.000 0.000 Zn
0.000 0.500 0.500 Zn

***

Er3Zn2Ru, relaxed, DFT PBE-GGA; M_tot = 0.0 μB per formula unit; final energy = -4.672 eV per atom
1.0
-1.261 -0.223 -4.724
1.994 -3.898 2.187
-5.509 -1.941 1.563
Zn Er Ru
2 3 1
direct
0.333 0.667 0.659 Zn
0.667 0.333 0.341 Zn
0.333 0.667 0.154 Er
0.667 0.333 0.846 Er
0.000 0.000 0.500 Er
0.000 0.000 0.000 Ru